A | RbCaTlSiTeF: relaxed, PBE-GGA.

Summary:
total moment = 0.000 μB/cell
space group = No. 8

Cell and atoms, written as POSCAR:
```
RbCaTlSiTeF
1.0
7.192 0.000 0.007
0.000 3.895 0.000
-3.789 0.000 14.145
F Ca Si Tl Rb Te
2 2 2 2 2 2
Cartesian
-0.622 0.000 6.228
-2.517 1.947 13.300
-3.017 0.000 12.250
-1.122 1.947 5.178
3.979 0.000 3.711
2.084 1.947 10.783
0.243 0.000 11.407
2.137 1.947 4.335
1.763 0.000 7.700
3.658 1.947 0.627
6.204 0.000 2.524
4.309 1.947 9.597
```

B | RbCaTlSiTeF: relaxed, PBE-GGA.

Summary:
total moment = 0.000 μB/cell
space group = No. 8

Cell and atoms, written as POSCAR:
```
RbCaTlSiTeF
1.0
-8.135 -3.491 2.309
0.382 -2.619 -2.614
10.219 -5.144 6.645
F Ca Si Tl Rb Te
2 2 2 2 2 2
Cartesian
-5.117 -4.190 3.450
0.183 -8.071 5.466
0.970 -6.029 6.182
-3.949 -4.767 1.552
-1.879 -2.630 2.361
3.421 -6.512 4.376
-0.671 -4.198 4.107
4.629 -8.079 6.123
6.333 -4.514 5.447
1.414 -3.252 0.818
2.868 -3.920 4.346
-2.051 -2.658 -0.283
```

Quick one: least stable of them? B

A | Rb2SrCaF6: relaxed, PBE-GGA.

Summary:
total moment = 0.000 μB/cell
space group = No. 225

Cell and atoms, written as POSCAR:
```
Rb2SrCaF6
1.0
6.571 0.000 0.000
0.000 6.571 0.000
3.286 3.286 4.647
Sr Ca Rb F
1 1 2 6
Cartesian
0.000 0.000 0.000
3.286 3.286 0.000
6.571 3.286 2.323
3.286 6.571 2.323
3.286 3.286 2.255
6.571 6.571 2.392
1.691 1.691 0.000
4.880 4.880 0.000
4.880 1.691 0.000
1.691 4.880 0.000
```

B | Rb2SrCaF6: relaxed, PBE-GGA.

Summary:
total moment = 0.423 μB/cell
space group = No. 14

Cell and atoms, written as POSCAR:
```
Rb2SrCaF6
1.0
6.492 0.000 -0.027
0.000 6.546 0.000
0.017 0.000 9.209
Rb Sr Ca F
4 2 2 12
Cartesian
0.048 6.348 2.302
3.303 3.470 6.893
6.461 0.197 6.880
3.206 3.076 2.289
3.246 0.000 -0.014
0.009 3.273 4.605
3.255 0.000 4.591
0.000 3.273 0.000
1.798 4.636 0.318
5.053 5.182 4.909
4.711 1.909 8.864
1.457 1.363 4.273
1.910 4.734 4.255
5.165 5.084 8.846
4.599 1.811 4.927
1.344 1.461 0.336
6.053 3.408 2.204
2.815 6.410 6.822
0.457 3.137 6.978
3.694 0.135 2.360
```

Quick one: least stable of them? A

A | Ca2ReF: relaxed, PBE-GGA.

Summary:
total moment = 2.008 μB/cell
space group = No. 225

Cell and atoms, written as POSCAR:
```
Ca2ReF
1.0
0.000 3.535 3.535
3.535 0.000 3.535
3.535 3.535 0.000
Re Ca F
1 2 1
Cartesian
3.535 3.535 3.535
1.767 1.767 1.767
5.302 5.302 5.302
0.000 0.000 0.000
```

B | Ca2ReF: relaxed, PBE-GGA.

Summary:
total moment = 4.784 μB/cell
space group = No. 122

Cell and atoms, written as POSCAR:
```
Ca2ReF
1.0
6.863 0.000 0.000
0.000 6.863 0.000
3.432 3.432 3.808
Re Ca F
2 4 2
Cartesian
0.000 0.000 0.000
6.863 3.432 1.904
4.576 1.716 0.952
2.287 5.147 0.952
5.147 5.719 2.856
8.579 8.008 2.856
3.432 3.432 0.000
3.432 6.863 1.904
```

Quick one: least stable of them? A

A | CaRe3F: relaxed, PBE-GGA.

Summary:
total moment = 2.875 μB/cell
space group = No. 221

Cell and atoms, written as POSCAR:
```
CaRe3F
1.0
-4.129 -1.342 1.799
-0.630 -2.922 -3.626
2.154 -3.427 2.387
Re Ca F
3 1 1
Cartesian
-0.315 -1.461 -1.813
1.077 -1.714 1.193
-2.064 -0.671 0.899
0.000 0.000 0.000
-1.302 -3.845 0.280
```

B | CaRe3F: relaxed, PBE-GGA.

Summary:
total moment = 2.318 μB/cell
space group = No. 221

Cell and atoms, written as POSCAR:
```
CaRe3F
1.0
-1.385 -4.141 -0.365
3.683 -1.045 -2.130
1.926 -0.980 3.811
Re Ca F
3 1 1
Cartesian
1.842 -0.522 -1.065
0.963 -0.490 1.906
-0.693 -2.070 -0.182
2.112 -3.083 0.658
0.000 0.000 0.000
```

Quick one: least stable of them? A

A | CaSF2: relaxed, PBE-GGA.

Summary:
total moment = 4.000 μB/cell
space group = No. 122

Cell and atoms, written as POSCAR:
```
CaSF2
1.0
-3.752 -0.111 5.092
-3.378 -4.680 -2.591
-0.342 -5.993 3.547
Ca S F
2 2 4
Cartesian
0.000 0.000 0.000
-3.830 -4.250 4.945
-3.565 -2.395 1.251
-3.643 -6.534 1.104
-3.448 -2.170 4.552
-5.824 -4.530 4.190
-2.395 -5.550 4.009
-3.653 -4.748 7.030
```

B | CaSF2: relaxed, PBE-GGA.

Summary:
total moment = 2.000 μB/cell
space group = No. 166

Cell and atoms, written as POSCAR:
```
CaSF2
1.0
2.053 0.000 8.368
-1.027 1.778 8.368
-1.027 -1.778 8.368
Ca S F
1 1 2
Cartesian
0.000 0.000 12.552
0.000 0.000 0.000
0.000 0.000 21.900
0.000 0.000 3.204
```

Quick one: least stable of them? A

A | CaSF3: relaxed, PBE-GGA.

Summary:
total moment = 0.000 μB/cell
space group = No. 221

Cell and atoms, written as POSCAR:
```
CaSF3
1.0
-4.070 -0.631 -1.618
0.159 -4.241 1.254
-1.730 1.095 3.923
Ca S F
1 1 3
Cartesian
-2.820 -1.889 1.779
0.000 0.000 0.000
0.080 -2.120 0.627
-0.865 0.547 1.962
-2.035 -0.316 -0.809
```

B | CaSF3: relaxed, PBE-GGA.

Summary:
total moment = 3.000 μB/cell
space group = No. 221

Cell and atoms, written as POSCAR:
```
CaSF3
1.0
4.461 0.000 0.000
0.000 4.461 0.000
0.000 0.000 4.461
Ca S F
1 1 3
Cartesian
0.000 0.000 0.000
2.230 2.230 2.230
0.000 2.230 0.000
0.000 0.000 2.230
2.230 0.000 0.000
```

Quick one: least stable of them? A

A | Ca2SF: relaxed, PBE-GGA.

Summary:
total moment = 1.671 μB/cell
space group = No. 122

Cell and atoms, written as POSCAR:
```
Ca2SF
1.0
5.888 0.000 0.000
0.000 5.888 0.000
2.944 2.944 5.916
Ca S F
4 2 2
Cartesian
4.197 1.472 1.479
1.691 4.416 1.479
4.416 4.636 4.437
7.361 7.141 4.437
0.000 0.000 0.000
5.888 2.944 2.958
2.944 2.944 0.000
2.944 5.888 2.958
```

B | Ca2SF: relaxed, PBE-GGA.

Summary:
total moment = 0.670 μB/cell
space group = No. 225

Cell and atoms, written as POSCAR:
```
Ca2SF
1.0
0.000 3.336 3.336
3.336 0.000 3.336
3.336 3.336 0.000
Ca S F
2 1 1
Cartesian
1.668 1.668 1.668
5.004 5.004 5.004
3.336 3.336 3.336
0.000 0.000 0.000
```

Quick one: least stable of them? B

A | CaSbF3: relaxed, PBE-GGA.

Summary:
total moment = 0.324 μB/cell
space group = No. 221

Cell and atoms, written as POSCAR:
```
CaSbF3
1.0
4.463 0.000 0.000
0.000 4.463 0.000
0.000 0.000 4.463
Sb Ca F
1 1 3
Cartesian
2.232 2.232 2.232
0.000 0.000 0.000
0.000 2.232 0.000
0.000 0.000 2.232
2.232 0.000 0.000
```

B | CaSbF3: relaxed, PBE-GGA.

Summary:
total moment = 0.000 μB/cell
space group = No. 221

Cell and atoms, written as POSCAR:
```
CaSbF3
1.0
-4.273 -1.969 0.279
1.191 -2.004 4.096
-1.593 3.784 2.314
Sb Ca F
1 1 3
Cartesian
0.000 0.000 0.000
-2.337 -0.094 3.345
0.596 -1.002 2.048
-0.796 1.892 1.157
-2.137 -0.985 0.140
```

Quick one: least stable of them? B

A | CaSb3F: relaxed, PBE-GGA.

Summary:
total moment = 0.000 μB/cell
space group = No. 221

Cell and atoms, written as POSCAR:
```
CaSb3F
1.0
5.697 0.000 0.000
0.000 5.697 0.000
0.000 0.000 5.697
Sb Ca F
3 1 1
Cartesian
0.000 2.849 0.000
0.000 0.000 2.849
2.849 0.000 0.000
0.000 0.000 0.000
2.849 2.849 2.849
```

B | CaSb3F: relaxed, PBE-GGA.

Summary:
total moment = 0.000 μB/cell
space group = No. 221

Cell and atoms, written as POSCAR:
```
CaSb3F
1.0
5.001 0.000 0.000
0.000 5.001 0.000
0.000 0.000 5.001
Sb Ca F
3 1 1
Cartesian
0.000 2.500 0.000
0.000 0.000 2.500
2.500 0.000 0.000
2.500 2.500 2.500
0.000 0.000 0.000
```

Quick one: least stable of them? A

A | CaSb2F: relaxed, PBE-GGA.

Summary:
total moment = 0.000 μB/cell
space group = No. 225

Cell and atoms, written as POSCAR:
```
CaSb2F
1.0
0.000 3.622 3.622
3.622 0.000 3.622
3.622 3.622 0.000
Sb Ca F
2 1 1
Cartesian
1.811 1.811 1.811
5.432 5.432 5.432
3.622 3.622 3.622
0.000 0.000 0.000
```

B | CaSb2F: relaxed, PBE-GGA.

Summary:
total moment = 0.000 μB/cell
space group = No. 122

Cell and atoms, written as POSCAR:
```
CaSb2F
1.0
4.101 0.000 0.000
0.000 4.101 0.000
2.050 2.050 12.352
Sb Ca F
4 2 2
Cartesian
3.076 1.025 3.088
1.025 3.076 3.088
3.076 3.075 9.264
5.126 5.126 9.264
0.000 0.000 0.000
4.101 2.050 6.176
2.050 2.050 0.000
2.050 4.101 6.176
```

Quick one: least stable of them? A

A | Ca2SbF: relaxed, PBE-GGA.

Summary:
total moment = 0.000 μB/cell
space group = No. 166

Cell and atoms, written as POSCAR:
```
Ca2SbF
1.0
-0.598 4.181 -1.598
-3.285 0.828 -2.985
-4.919 2.795 2.773
Sb Ca F
1 2 1
Cartesian
-4.401 3.902 -0.905
-2.107 1.922 -0.563
-6.695 5.882 -1.247
0.000 0.000 0.000
```

B | Ca2SbF: relaxed, PBE-GGA.

Summary:
total moment = 0.000 μB/cell
space group = No. 225

Cell and atoms, written as POSCAR:
```
Ca2SbF
1.0
0.000 3.673 3.673
3.673 0.000 3.673
3.673 3.673 0.000
Sb Ca F
1 2 1
Cartesian
3.673 3.673 3.673
1.836 1.836 1.836
5.509 5.509 5.509
0.000 0.000 0.000
```

C | Ca2SbF: relaxed, PBE-GGA.

Summary:
total moment = 0.000 μB/cell
space group = No. 14

Cell and atoms, written as POSCAR:
```
Ca2SbF
1.0
-3.513 0.284 5.788
-3.270 -8.103 -1.588
7.024 -2.925 0.462
Ca Sb F
8 4 4
Cartesian
-3.225 -6.452 2.326
-1.470 -6.599 -0.569
-2.481 -3.707 4.630
1.710 -4.146 5.231
2.721 -7.037 0.032
0.046 -9.173 2.480
3.465 -4.293 2.336
0.194 -1.572 2.182
-1.474 -3.959 1.281
2.215 -10.040 -0.123
-1.975 -0.705 4.785
1.714 -6.786 3.381
1.887 -2.789 3.286
2.938 -4.679 0.050
-1.647 -7.956 1.376
-2.698 -6.066 4.612
```

Quick one: least stable of them? B

A | CaSb2TeF: relaxed, PBE-GGA.

Summary:
total moment = 0.000 μB/cell
space group = No. 123

Cell and atoms, written as POSCAR:
```
CaSb2TeF
1.0
-4.484 -2.997 2.049
-1.470 -1.477 -5.380
3.227 -4.573 0.374
Sb Ca Te F
2 1 1 1
Cartesian
-0.735 -0.739 -2.690
-2.242 -1.499 1.024
0.000 0.000 0.000
1.613 -2.286 0.187
-1.364 -4.524 -1.479
```

B | CaSb2TeF: relaxed, PBE-GGA.

Summary:
total moment = 0.000 μB/cell
space group = No. 123

Cell and atoms, written as POSCAR:
```
CaSb2TeF
1.0
4.774 0.000 0.000
0.000 4.774 0.000
0.000 0.000 5.698
Sb Ca Te F
2 1 1 1
Cartesian
0.000 2.387 0.000
2.387 0.000 0.000
2.387 2.387 2.849
0.000 0.000 2.849
0.000 0.000 0.000
```

Quick one: least stable of them? A